Record 1
# Rb3In2Br6, relaxed, DFT GGA-PBE
# E_form (uncorrected), eV per atom: -1.249
data_Rb3In2Br6
_chemical_formula_sum 'Rb6 In4 Br12'
_cell_length_a 26.201
_cell_length_b 5.961
_cell_length_c 5.880
_cell_angle_alpha 90.00
_cell_angle_beta 102.72
_cell_angle_gamma 90.00
_symmetry_space_group_name_H-M 'C 1 2/m 1'
_symmetry_Int_Tables_number 12
_symmetry_space_group_name_Hall '-C 2y'
loop_
_atom_site_label
_atom_site_type_symbol
_atom_site_fract_x
_atom_site_fract_y
_atom_site_fract_z
Rb1 Rb 0.000 0.000 0.000
Rb2 Rb 0.174 0.000 0.130
In1 In 0.082 0.500 0.583
Br1 Br 0.081 0.500 0.083
Br2 Br 0.083 0.000 0.576
Br3 Br 0.193 0.500 0.719



Record 2
# ZrZnBr2, relaxed, DFT GGA-PBE
# E_form (uncorrected), eV per atom: -0.190
# Excess energy over the best structure of this formula in the dataset, meV/atom: 475.3
data_ZrZnBr2
_chemical_formula_sum 'Zr2 Zn2 Br4'
_cell_length_a 6.488
_cell_length_b 9.261
_cell_length_c 3.406
_cell_angle_alpha 90.00
_cell_angle_beta 117.19
_cell_angle_gamma 90.00
_symmetry_space_group_name_H-M 'C 1 2/m 1'
_symmetry_Int_Tables_number 12
_symmetry_space_group_name_Hall '-C 2y'
loop_
_atom_site_label
_atom_site_type_symbol
_atom_site_fract_x
_atom_site_fract_y
_atom_site_fract_z
Zr1 Zr 0.000 0.000 0.000
Zn1 Zn 0.000 0.500 0.000
Br1 Br 0.250 0.250 0.000



Record 3
# TlIr, relaxed, DFT GGA-PBE
# Formation energy from the elements, eV/atom: 0.4156
data_TlIr
_chemical_formula_sum 'Tl6 Ir6'
_cell_length_a 13.017
_cell_length_b 2.975
_cell_length_c 6.978
_cell_angle_alpha 90.00
_cell_angle_beta 116.25
_cell_angle_gamma 90.00
_symmetry_space_group_name_H-M 'C 1 m 1'
_symmetry_Int_Tables_number 8
_symmetry_space_group_name_Hall 'C -2y'
loop_
_atom_site_label
_atom_site_type_symbol
_atom_site_fract_x
_atom_site_fract_y
_atom_site_fract_z
Tl1 Tl 0.000 0.000 0.000
Tl2 Tl 0.052 0.000 0.552
Tl3 Tl 0.280 0.000 0.121
Ir1 Ir 0.171 0.500 0.335
Ir2 Ir 0.267 0.500 0.770
Ir3 Ir 0.364 0.000 0.574



Record 4
# TaSbPb2, relaxed, DFT GGA-PBE
# E_form (uncorrected), eV per atom: 0.236
data_TaSbPb2
_chemical_formula_sum 'Ta1 Sb1 Pb2'
_cell_length_a 3.545
_cell_length_b 3.545
_cell_length_c 8.380
_cell_angle_alpha 90.00
_cell_angle_beta 90.00
_cell_angle_gamma 90.00
_symmetry_space_group_name_H-M 'P 4 m m'
_symmetry_Int_Tables_number 99
_symmetry_space_group_name_Hall 'P 4 -2'
loop_
_atom_site_label
_atom_site_type_symbol
_atom_site_fract_x
_atom_site_fract_y
_atom_site_fract_z
Ta1 Ta 0.000 0.000 0.000
Sb1 Sb 0.500 0.500 0.844
Pb1 Pb 0.000 0.000 0.572
Pb2 Pb 0.500 0.500 0.246



Record 5
# YZrVCo2, relaxed, DFT GGA-PBE
# Formation energy from the elements, eV/atom: 1.3673
# Excess energy over the best structure of this formula in the dataset, meV/atom: 877.5
data_YZrVCo2
_chemical_formula_sum 'Y1 Zr1 V1 Co2'
_cell_length_a 4.560
_cell_length_b 4.560
_cell_length_c 5.291
_cell_angle_alpha 90.00
_cell_angle_beta 90.00
_cell_angle_gamma 90.00
_symmetry_space_group_name_H-M 'P 4/m m m'
_symmetry_Int_Tables_number 123
_symmetry_space_group_name_Hall '-P 4 2'
loop_
_atom_site_label
_atom_site_type_symbol
_atom_site_fract_x
_atom_site_fract_y
_atom_site_fract_z
Y1 Y 0.000 0.000 0.000
Zr1 Zr 0.000 0.000 0.500
V1 V 0.500 0.500 0.000
Co1 Co 0.000 0.500 0.500



Record 6
# Sr2InGaPt6, relaxed, DFT GGA-PBE
# Formation energy from the elements, eV/atom: -0.6275
data_Sr2InGaPt6
_chemical_formula_sum 'Sr2 In1 Ga1 Pt6'
_cell_length_a 6.577
_cell_length_b 6.632
_cell_length_c 6.880
_cell_angle_alpha 116.98
_cell_angle_beta 93.29
_cell_angle_gamma 117.49
_symmetry_space_group_name_H-M 'P -1'
_symmetry_Int_Tables_number 2
_symmetry_space_group_name_Hall '-P 1'
loop_
_atom_site_label
_atom_site_type_symbol
_atom_site_fract_x
_atom_site_fract_y
_atom_site_fract_z
Sr1 Sr 0.202 0.106 0.294
In1 In 0.500 0.500 0.000
Ga1 Ga 0.000 0.500 0.500
Pt1 Pt 0.157 0.591 0.896
Pt2 Pt 0.325 0.712 0.342
Pt3 Pt 0.365 0.977 0.802